Mg2ReMo GGA-PBE relaxed; space group = P4/mmm (123); E above lowest polymorph = 20.2 kJ/mol of atoms
1.0
-1.9306 2.9541 -2.9081
-3.3466 -0.4831 1.7310
0.8110 2.8591 2.3659
Mg Mo Re
2 1 1
Cartesian
0.0000 0.0000 0.0000
-1.2678 1.1880 2.0484
-2.6386 1.2355 -0.5885
-0.5598 2.9066 -0.2711

LaBiC3 GGA-PBE relaxed; space group = Pm-3m (221); E above lowest polymorph = 42.7 kJ/mol of atoms
1.0
-3.3300 -3.0636 -0.0956
0.5484 -0.4565 -4.4693
3.0156 -3.2999 0.7071
C Bi La
3 1 1
Cartesian
0.2742 -0.2283 -2.2346
1.5078 -1.6499 0.3535
-1.6650 -1.5318 -0.0478
0.1170 -3.4100 -1.9289
0.0000 0.0000 0.0000

BaGa9Ir2 GGA-PBE relaxed; space group = I4_1/amd (141)
1.0
-5.3684 -5.5539 0.8648
2.1951 -7.8997 -2.1769
-0.2498 -4.0362 7.4571
Ba Ga Ir
2 18 4
Cartesian
-2.6842 -2.7769 0.4324
-0.3694 -7.3564 2.8563
-3.0537 -10.1334 3.2887
0.0000 0.0000 0.0000
1.7237 -10.0913 3.0464
-3.1942 -5.3785 2.7841
-3.4683 -7.5558 4.5639
-0.6864 -10.6909 1.6990
-2.2363 -12.9192 3.1755
-0.4551 -3.8136 2.8517
1.6097 -8.8970 0.4886
-1.6170 -5.0590 5.1062
-2.8320 -11.9780 5.5226
0.1405 -4.7549 0.5046
0.1649 -6.6138 6.1819
-0.1721 -7.3421 -0.5871
1.1280 -9.1500 5.3935
-2.5985 -6.3197 0.4370
-2.4683 -9.1361 0.6233
-1.6865 -9.1106 5.6396
-4.3359 -9.8617 5.8053
-3.1135 -11.7934 0.9883
-4.2110 -7.8436 2.0768
-0.5542 -11.0346 4.2845

B4C GGA-PBE relaxed; space group = Cm (8); E above lowest polymorph = 47.9 kJ/mol of atoms
1.0
4.8131 0.0000 -0.0300
0.0000 2.8345 0.0000
-3.0022 0.0000 4.9673
C B
2 8
Cartesian
2.1895 0.0000 1.4069
0.6884 1.4173 3.8905
-1.0255 0.0000 1.7669
-2.5266 1.4173 4.2506
0.6487 0.0000 1.6141
-0.8524 1.4173 4.0977
1.2663 0.0000 3.3153
2.7673 1.4173 0.8317
-1.7107 0.0000 3.4802
-0.2096 1.4173 0.9966

NaGaPb GGA-PBE relaxed; space group = P-6m2 (187)
1.0
5.1780 0.0000 0.0555
0.0000 3.3275 0.0000
2.5378 0.0000 4.5115
Pb Na Ga
1 1 1
Cartesian
4.3076 1.6637 2.8158
6.8795 0.0000 4.3389
1.7365 1.6637 1.2917

LiPb2 GGA-PBE relaxed; space group = I4/mmm (139); E above lowest polymorph = 5.2 kJ/mol of atoms
1.0
6.9629 0.1422 0.0000
5.1631 4.6738 0.0000
-6.0630 -2.4080 2.4380
Pb Li
2 1
Cartesian
7.8675 3.1247 0.0000
4.2586 1.6914 0.0000
0.0000 0.0000 0.0000

| no. | volume (A^3/atom) | calculated formation energy (eV per atom) |
| --- | --- | --- |
| 1 | 16.50 | 0.332 |
| 2 | 18.54 | 2.500 |
| 3 | 18.41 | -0.334 |
| 4 | 6.75 | 0.395 |
| 5 | 25.75 | -0.053 |
| 6 | 25.85 | -0.116 |